Compound: K3Mn2I2F5
Source: Alexandria
Functional: PBE with a Hubbard U
Structure: optimized geometry

POSCAR file:
```
K3Mn2I2F5
1.0
-2.228 2.228 13.307
2.228 -2.228 13.307
2.228 2.228 -13.307
K Mn I F
3 2 2 5
Direct
0.000 0.000 0.000 K
0.145 0.145 0.000 K
0.855 0.855 0.000 K
0.421 0.421 0.000 Mn
0.579 0.579 0.000 Mn
0.312 0.312 0.000 I
0.688 0.688 0.000 I
0.075 0.575 0.500 F
0.425 0.925 0.500 F
0.500 0.500 0.000 F
0.575 0.075 0.500 F
0.925 0.425 0.500 F
```

Output
The crystal system is tetragonal. The space group is I4/mmm. For the total energy, the calculation gives -4.817 eV per atom.